# 1
Sr2ZnAgH | PBE-GGA | optimized geometry

- Spin magnetization: 0.00 μB per cell
- Density of states at the Fermi level: 2.23 states/eV/cell
- E_tot: -2.383 eV per atom

Geometry as CIF:
```
data_Sr2ZnAgH
_chemical_formula_sum 'Sr2 Zn1 Ag1 H1'
_cell_length_a 5.306
_cell_length_b 5.306
_cell_length_c 4.158
_cell_angle_alpha 90.00
_cell_angle_beta 90.00
_cell_angle_gamma 90.00
_symmetry_space_group_name_H-M 'P 1'
_symmetry_Int_Tables_number 1
loop_
_symmetry_equiv_pos_as_xyz
'x,y,z'
loop_
_atom_site_label
_atom_site_type_symbol
_atom_site_fract_x
_atom_site_fract_y
_atom_site_fract_z
Ag1 Ag 0.500 0.500 0.500
H1 H 0.000 0.000 0.000
Sr1 Sr 0.500 0.000 0.000
Sr2 Sr 0.000 0.500 0.000
Zn1 Zn 0.000 0.000 0.500
```

# 2
Ca3MoAs | PBE-GGA | optimized geometry

- Spin magnetization: 4.91 μB per cell
- Polymorph energy (0 for the lowest one): 0 meV per atom
- E_form: 1.497 eV/f.u.
- Density of states at the Fermi level: 4.44 states/eV/cell

Geometry as CIF:
```
data_Ca3MoAs
_chemical_formula_sum 'Ca3 Mo1 As1'
_cell_length_a 5.586
_cell_length_b 5.586
_cell_length_c 5.586
_cell_angle_alpha 90.00
_cell_angle_beta 90.00
_cell_angle_gamma 90.00
_symmetry_space_group_name_H-M 'P 1'
_symmetry_Int_Tables_number 1
loop_
_symmetry_equiv_pos_as_xyz
'x,y,z'
loop_
_atom_site_label
_atom_site_type_symbol
_atom_site_fract_x
_atom_site_fract_y
_atom_site_fract_z
Mo1 Mo 0.500 0.500 0.500
Ca1 Ca 0.000 0.000 0.500
Ca2 Ca 0.000 0.500 0.000
Ca3 Ca 0.500 0.000 0.000
As1 As 0.000 0.000 0.000
```

# 3
RbTl2Cd | PBE-GGA | optimized geometry

- Spin magnetization: 0.00 μB per cell
- Polymorph energy (0 for the lowest one): 156 meV per atom
- E_form: 0.289 eV/f.u.
- Density of states at the Fermi level: 3.94 states/eV/cell

Geometry as CIF:
```
data_RbTl2Cd
_chemical_formula_sum 'Rb1 Tl2 Cd1'
_cell_length_a 5.051
_cell_length_b 5.260
_cell_length_c 5.260
_cell_angle_alpha 90.00
_cell_angle_beta 90.00
_cell_angle_gamma 90.00
_symmetry_space_group_name_H-M 'P 1'
_symmetry_Int_Tables_number 1
loop_
_symmetry_equiv_pos_as_xyz
'x,y,z'
loop_
_atom_site_label
_atom_site_type_symbol
_atom_site_fract_x
_atom_site_fract_y
_atom_site_fract_z
Tl1 Tl 0.000 0.000 0.500
Tl2 Tl 0.000 0.500 0.000
Rb1 Rb 0.500 0.500 0.500
Cd1 Cd 0.500 0.000 0.000
```

# 4
Li5CaMg4 | PBE-GGA | optimized geometry

- Spin magnetization: 0.00 μB per cell
- E_form: -0.336 eV/f.u.
- Density of states at the Fermi level: 4.88 states/eV/cell

Geometry as CIF:
```
data_Li5CaMg4
_chemical_formula_sum 'Li5 Ca1 Mg4'
_cell_length_a 3.585
_cell_length_b 3.585
_cell_length_c 17.366
_cell_angle_alpha 90.00
_cell_angle_beta 90.00
_cell_angle_gamma 90.00
_symmetry_space_group_name_H-M 'P 1'
_symmetry_Int_Tables_number 1
loop_
_symmetry_equiv_pos_as_xyz
'x,y,z'
loop_
_atom_site_label
_atom_site_type_symbol
_atom_site_fract_x
_atom_site_fract_y
_atom_site_fract_z
Li1 Li 0.500 0.500 0.129
Li2 Li 0.500 0.500 0.689
Li3 Li 0.500 0.500 0.871
Li4 Li 0.500 0.500 0.500
Li5 Li 0.500 0.500 0.311
Ca1 Ca 0.000 0.000 0.000
Mg1 Mg 0.000 0.000 0.782
Mg2 Mg 0.000 0.000 0.406
Mg3 Mg 0.000 0.000 0.218
Mg4 Mg 0.000 0.000 0.594
```

# 5
MnTeAsN2 | PBE-GGA | optimized geometry

- Spin magnetization: 0.01 μB per cell
- Polymorph energy (0 for the lowest one): 0 meV per atom
- Density of states at the Fermi level: 5.53 states/eV/cell
- Raw formation energy: 85.61 kJ per mole of atoms

Geometry as CIF:
```
data_MnTeAsN2
_chemical_formula_sum 'Mn1 Te1 As1 N2'
_cell_length_a 3.746
_cell_length_b 3.746
_cell_length_c 5.595
_cell_angle_alpha 90.00
_cell_angle_beta 90.00
_cell_angle_gamma 90.00
_symmetry_space_group_name_H-M 'P 1'
_symmetry_Int_Tables_number 1
loop_
_symmetry_equiv_pos_as_xyz
'x,y,z'
loop_
_atom_site_label
_atom_site_type_symbol
_atom_site_fract_x
_atom_site_fract_y
_atom_site_fract_z
N1 N 0.500 0.000 0.000
N2 N 0.000 0.500 0.000
Te1 Te 0.000 0.000 0.500
As1 As 0.500 0.500 0.500
Mn1 Mn 0.000 0.000 0.000
```

# 6
Dy7Bi2Os2 | PBE-GGA | optimized geometry

- Spin magnetization: 0.00 μB per cell
- E_form: -3.621 eV/f.u.
- Density of states at the Fermi level: 5.96 states/eV/cell

Geometry as CIF:
```
data_Dy7Bi2Os2
_chemical_formula_sum 'Dy7 Bi2 Os2'
_cell_length_a 7.330
_cell_length_b 6.840
_cell_length_c 6.840
_cell_angle_alpha 80.48
_cell_angle_beta 90.00
_cell_angle_gamma 90.00
_symmetry_space_group_name_H-M 'P 1'
_symmetry_Int_Tables_number 1
loop_
_symmetry_equiv_pos_as_xyz
'x,y,z'
loop_
_atom_site_label
_atom_site_type_symbol
_atom_site_fract_x
_atom_site_fract_y
_atom_site_fract_z
Bi1 Bi 0.500 0.790 0.210
Bi2 Bi 0.500 0.210 0.790
Dy1 Dy 0.000 0.000 0.000
Dy2 Dy 0.233 0.000 0.500
Dy3 Dy 0.233 0.500 0.000
Dy4 Dy 0.777 0.500 0.500
Dy5 Dy 0.767 0.500 0.000
Dy6 Dy 0.767 0.000 0.500
Dy7 Dy 0.223 0.500 0.500
Os1 Os 0.000 0.722 0.722
Os2 Os 0.000 0.278 0.278
```

# 7
Pr3PbSe2 | PBE-GGA | optimized geometry

- Spin magnetization: 0.00 μB per cell
- Density of states at the Fermi level: 2.49 states/eV/cell
- Raw formation energy: -137.68 kJ per mole of atoms

Geometry as CIF:
```
data_Pr3PbSe2
_chemical_formula_sum 'Pr3 Pb1 Se2'
_cell_length_a 4.415
_cell_length_b 6.214
_cell_length_c 7.582
_cell_angle_alpha 114.19
_cell_angle_beta 106.90
_cell_angle_gamma 90.00
_symmetry_space_group_name_H-M 'P 1'
_symmetry_Int_Tables_number 1
loop_
_symmetry_equiv_pos_as_xyz
'x,y,z'
loop_
_atom_site_label
_atom_site_type_symbol
_atom_site_fract_x
_atom_site_fract_y
_atom_site_fract_z
Pr1 Pr 0.500 0.500 0.000
Pr2 Pr 0.175 0.175 0.350
Pr3 Pr 0.825 0.825 0.650
Pb1 Pb 0.500 0.000 0.000
Se1 Se 0.836 0.337 0.673
Se2 Se 0.164 0.663 0.327
```

# 8
ErMgGePd | PBE-GGA | optimized geometry

- Spin magnetization: 0.00 μB per cell
- E_form: -2.667 eV/f.u.
- Density of states at the Fermi level: 1.79 states/eV/cell

Geometry as CIF:
```
data_ErMgGePd
_chemical_formula_sum 'Er1 Mg1 Ge1 Pd1'
_cell_length_a 4.783
_cell_length_b 4.783
_cell_length_c 4.783
_cell_angle_alpha 60.00
_cell_angle_beta 60.00
_cell_angle_gamma 60.00
_symmetry_space_group_name_H-M 'P 1'
_symmetry_Int_Tables_number 1
loop_
_symmetry_equiv_pos_as_xyz
'x,y,z'
loop_
_atom_site_label
_atom_site_type_symbol
_atom_site_fract_x
_atom_site_fract_y
_atom_site_fract_z
Mg1 Mg 0.500 0.500 0.500
Ge1 Ge 0.250 0.250 0.250
Pd1 Pd 0.750 0.750 0.750
Er1 Er 0.000 0.000 0.000
```

# 9
LiCd2BOs | PBE-GGA | optimized geometry

- Spin magnetization: 0.00 μB per cell
- E_form: 8.759 eV/f.u.
- Density of states at the Fermi level: 5.16 states/eV/cell

Geometry as CIF:
```
data_LiCd2BOs
_chemical_formula_sum 'Li1 Cd2 B1 Os1'
_cell_length_a 5.174
_cell_length_b 4.708
_cell_length_c 5.174
_cell_angle_alpha 90.00
_cell_angle_beta 90.00
_cell_angle_gamma 90.00
_symmetry_space_group_name_H-M 'P 1'
_symmetry_Int_Tables_number 1
loop_
_symmetry_equiv_pos_as_xyz
'x,y,z'
loop_
_atom_site_label
_atom_site_type_symbol
_atom_site_fract_x
_atom_site_fract_y
_atom_site_fract_z
Li1 Li 0.000 0.500 0.000
Os1 Os 0.000 0.000 0.000
Cd1 Cd 0.500 0.000 0.000
Cd2 Cd 0.000 0.000 0.500
B1 B 0.500 0.500 0.500
```

# 10
SrZr2Tl | PBE-GGA | optimized geometry

- Spin magnetization: 0.58 μB per cell
- Polymorph energy (0 for the lowest one): 273 meV per atom
- E_form: 1.295 eV/f.u.
- Density of states at the Fermi level: 5.04 states/eV/cell

Geometry as CIF:
```
data_SrZr2Tl
_chemical_formula_sum 'Sr1 Zr2 Tl1'
_cell_length_a 6.554
_cell_length_b 6.554
_cell_length_c 6.554
_cell_angle_alpha 149.96
_cell_angle_beta 127.31
_cell_angle_gamma 61.85
_symmetry_space_group_name_H-M 'P 1'
_symmetry_Int_Tables_number 1
loop_
_symmetry_equiv_pos_as_xyz
'x,y,z'
loop_
_atom_site_label
_atom_site_type_symbol
_atom_site_fract_x
_atom_site_fract_y
_atom_site_fract_z
Zr1 Zr 0.777 0.277 0.500
Zr2 Zr 0.999 0.999 0.000
Sr1 Sr 0.493 0.493 0.000
Tl1 Tl 0.231 0.731 0.500
```

What is the formula in the sixth record? Dy7Bi2Os2